Entry 1:
HfMnZn | Alexandria | PBE-GGA | optimized geometry; calculated total energy = -18.3 eV per formula unit; energy of formation from the pure elements = 0.700 eV/atom
1.0
-1.4073 1.4073 7.3715
1.4073 -1.4073 7.3715
1.4073 1.4073 -7.3715
Hf Mn Zn
1 1 1
Direct
0.0000 0.0000 0.0000 Hf
0.8184 0.8184 0.0000 Mn
0.6451 0.6451 0.0000 Zn

***

Entry 2:
Nb14ZnRe | Alexandria | PBE-GGA | optimized geometry; calculated total energy = -155.5 eV per formula unit; energy of formation from the pure elements = -0.052 eV/atom
1.0
6.5743 0.0000 0.0000
0.0000 6.5743 0.0000
0.0000 0.0000 6.6126
Nb Zn Re
14 1 1
Direct
0.0000 0.0000 0.0000 Nb
0.0000 0.5000 0.0000 Nb
0.0000 0.5000 0.5000 Nb
0.2452 0.2452 0.2526 Nb
0.2452 0.2452 0.7474 Nb
0.2452 0.7548 0.2526 Nb
0.2452 0.7548 0.7474 Nb
0.5000 0.0000 0.0000 Nb
0.5000 0.0000 0.5000 Nb
0.5000 0.5000 0.0000 Nb
0.7548 0.2452 0.2526 Nb
0.7548 0.2452 0.7474 Nb
0.7548 0.7548 0.2526 Nb
0.7548 0.7548 0.7474 Nb
0.5000 0.5000 0.5000 Zn
0.0000 0.0000 0.5000 Re

***

Entry 3:
AlSb | Alexandria | PBE-GGA | optimized geometry; calculated total energy = -8.0 eV per formula unit
1.0
4.4039 0.0000 0.0000
0.0000 13.4009 0.0000
0.0000 0.0000 6.7414
Al Sb
6 6
Direct
0.2500 0.1025 0.0921 Al
0.2500 0.3975 0.0921 Al
0.2500 0.7500 0.4091 Al
0.7500 0.2500 0.5909 Al
0.7500 0.6025 0.9079 Al
0.7500 0.8975 0.9079 Al
0.2500 0.2500 0.3638 Sb
0.2500 0.6004 0.1425 Sb
0.2500 0.8996 0.1425 Sb
0.7500 0.1004 0.8575 Sb
0.7500 0.3996 0.8575 Sb
0.7500 0.7500 0.6362 Sb

***

Entry 4:
Zn2TcMo | Alexandria | PBE-GGA | optimized geometry; calculated total energy = -23.1 eV per formula unit; energy of formation from the pure elements = 0.166 eV/atom; energy relative to the lowest polymorph listed for this composition = 132 meV/atom
1.0
-1.8631 1.8631 4.2328
1.8631 -1.8631 4.2328
1.8631 1.8631 -4.2328
Zn Tc Mo
2 1 1
Direct
0.2500 0.7500 0.5000 Zn
0.7500 0.2500 0.5000 Zn
0.0000 0.0000 0.0000 Tc
0.5000 0.5000 0.0000 Mo

***

Entry 5:
DyU2RuC4 | Alexandria | PBE-GGA | optimized geometry; calculated total energy = -73.7 eV per formula unit; energy of formation from the pure elements = -0.048 eV/atom
1.0
1.7522 -5.8077 0.0000
1.7522 5.8077 0.0000
0.0000 0.0000 11.4855
Dy U Ru C
2 4 2 8
Direct
0.1107 0.8893 0.7500 Dy
0.8893 0.1107 0.2500 Dy
0.3704 0.6296 0.5490 U
0.3704 0.6296 0.9510 U
0.6296 0.3704 0.0490 U
0.6296 0.3704 0.4510 U
0.1507 0.8493 0.2500 Ru
0.8493 0.1507 0.7500 Ru
0.0000 0.0000 0.0000 C
0.0000 0.0000 0.5000 C
0.2640 0.7360 0.1163 C
0.2640 0.7360 0.3837 C
0.4512 0.5488 0.7500 C
0.5488 0.4512 0.2500 C
0.7360 0.2640 0.6163 C
0.7360 0.2640 0.8837 C

***

Entry 6:
AlTcP3 | Alexandria | PBE-GGA | optimized geometry; calculated total energy = -27.4 eV per formula unit; energy of formation from the pure elements = 0.583 eV/atom; energy relative to the lowest polymorph listed for this composition = 0 meV/atom
1.0
4.6351 0.0000 0.0000
0.0000 4.6351 0.0000
0.0000 0.0000 4.6351
Al Tc P
1 1 3
Direct
0.0000 0.0000 0.0000 Al
0.5000 0.5000 0.5000 Tc
0.0000 0.5000 0.5000 P
0.5000 0.0000 0.5000 P
0.5000 0.5000 0.0000 P